The following is a DFT calculation (PBE-GGA) of ZrReMo2 after structural relaxation.

Structure (POSCAR):
```
ZrReMo2
1.0
2.8327 0.0000 0.0000
0.0000 4.5268 0.0000
-0.9428 0.0000 5.2332
Zr Re Mo
1 1 2
Direct
0.0000 0.0000 0.0000
0.2576 0.5000 0.7456
0.5052 0.0000 0.5024
0.7430 0.5000 0.2574
```

Properties
symmetry: Pm, No. 6
total magnetization: 0.00 μB per cell
energy above the lowest structure with this stoichiometry: 70.7 meV/atom
energy: -42.756 eV per formula unit

---

The following is a DFT calculation (PBE-GGA) of Zr2ReMo after structural relaxation.

Structure (POSCAR):
```
Zr2ReMo
1.0
3.1906 0.0000 0.0000
0.0000 3.1906 0.0000
0.0000 0.0000 7.4345
Zr Re Mo
2 1 1
Direct
0.0000 0.0000 0.0000
0.5000 0.5000 0.2974
0.5000 0.5000 0.7490
0.0000 0.0000 0.5557
```

Properties
symmetry: P4mm, No. 99
total magnetization: 0.00 μB per cell
energy: -40.603 eV per formula unit

---

The following is a DFT calculation (PBE-GGA) of ZrRe2Mo after structural relaxation.

Structure (POSCAR):
```
ZrRe2Mo
1.0
3.1949 0.0000 0.0000
0.0000 3.1949 0.0000
0.0000 0.0000 6.5597
Zr Re Mo
1 2 1
Direct
0.0000 0.0000 0.0000
0.0000 0.0000 0.4991
0.5000 0.5000 0.7345
0.5000 0.5000 0.2691
```

Properties
symmetry: P4mm, No. 99
total magnetization: 0.00 μB per cell
energy above the lowest structure with this stoichiometry: 104.9 meV/atom
energy: -44.316 eV per formula unit

---

| no. | energy of formation from the pure elements (eV/atom) |
| --- | --- |
| 1 | -0.024 |
| 2 | -0.057 |
| 3 | -0.010 |